# 1
## CsPaSb2O8 (PBE)

Data for a relaxed structure of CsPaSb2O8.

DFT total energy = -81.75 eV for the cell shown
Raw formation energy = -1958 meV per atom

abc: 5.9257 5.9257 9.3265
angles: 90.00 90.00 120.00
Last column: nearest neighbours and their distance in Å.
Space group P-3 (No. 147)
Inequivalent atoms, fractional coordinates:
Cs (0.0000, 0.0000, 0.0000)  12 O 3.50-3.80
Pa (0.0000, 0.0000, 0.5000)  6 O 2.17
Sb (0.3333, 0.6667, 0.7212)  4 O 1.85-1.92
O (0.1034, 0.3318, 0.6379)  1 Sb 1.92
O (0.3333, 0.6667, 0.9196)  1 Sb 1.85

***

# 2
## Cs3PaSb2O9 (PBE)

Data for a relaxed structure of Cs3PaSb2O9.

DFT total energy = -93.14 eV for the cell shown
Raw formation energy = -1881 meV per atom

abc: 6.0201 6.0201 7.3926
angles: 90.00 90.00 120.00
Last column: nearest neighbours and their distance in Å.
Space group P-3m1 (No. 164)
Inequivalent atoms, fractional coordinates:
Cs (0.0000, 0.0000, 0.0000)  12 O 3.00-3.01
Cs (0.3333, 0.6667, 0.6697)  12 O 3.00-3.05
Pa (0.0000, 0.0000, 0.5000)  6 O 2.22
Sb (0.3333, 0.6667, 0.1606)  6 O 2.07-2.10
O (0.0000, 0.5000, 0.0000)  2 Sb 2.10
O (0.1728, 0.3456, 0.3248)  1 Sb 2.07, 1 Pa 2.22

***

# 3
## Cs2PaSbO6 (PBE)

Data for a relaxed structure of Cs2PaSbO6.

DFT total energy = -269.20 eV for the cell shown
Raw formation energy = -2223 meV per atom

abc: 8.6060 8.6060 8.6060
angles: 90.00 90.00 90.00
Last column: nearest neighbours and their distance in Å.
Space group Fm-3m (No. 225)
Inequivalent atoms, fractional coordinates:
Cs (0.2500, 0.2500, 0.2500)  12 O 3.04
Pa (0.0000, 0.0000, 0.0000)  6 O 2.22
Sb (0.0000, 0.0000, 0.5000)  6 O 2.08
O (0.0000, 0.0000, 0.2585)  1 Sb 2.08, 1 Pa 2.22

***

# 4
## Cs2ScPa3O12 (PBE)

Data for a relaxed structure of Cs2ScPa3O12.

DFT total energy = -434.73 eV for the cell shown
Raw formation energy = -2716 meV per atom

abc: 8.1697 8.1697 18.7979
angles: 90.00 90.00 120.00
Last column: nearest neighbours and their distance in Å.
Space group R-3m (No. 166, hexagonal axes)
Inequivalent atoms, fractional coordinates:
Cs (0.0000, 0.0000, 0.1323)  9 O 3.48-3.74
Sc (0.0000, 0.0000, 0.5000)  6 O 2.10
Pa (0.0000, 0.5000, 0.0000)  6 O 2.05-2.18
O (0.0839, 0.5419, 0.3591)  2 Pa 2.18
O (0.0865, 0.5432, 0.1043)  1 Pa 2.05, 1 Sc 2.10